Below is a geometry-optimized BaLaSb2Se6 structure, with properties calculated at the PBE-GGA level.

Lattice parameters (Å, degrees): 15.437 4.417 17.100 87.19 90.00 90.00
Sites, in units of the cell vectors:
Ba1 0.287 0.734 0.672
Ba2 0.787 0.266 0.828
Ba3 0.713 0.266 0.328
Ba4 0.213 0.734 0.172
La1 0.127 0.706 0.908
La2 0.627 0.294 0.592
La3 0.873 0.294 0.092
La4 0.373 0.706 0.408
Sb1 0.371 0.292 0.974
Sb2 0.871 0.708 0.526
Sb3 0.629 0.708 0.026
Sb4 0.129 0.292 0.474
Sb5 0.025 0.260 0.699
Sb6 0.525 0.740 0.801
Sb7 0.975 0.740 0.301
Sb8 0.475 0.260 0.199
Se1 0.987 0.175 0.942
Se2 0.487 0.825 0.558
Se3 0.013 0.825 0.058
Se4 0.513 0.175 0.442
Se5 0.330 0.749 0.873
Se6 0.830 0.251 0.627
Se7 0.670 0.251 0.127
Se8 0.170 0.749 0.373
Se9 0.209 0.231 0.022
Se10 0.709 0.769 0.478
Se11 0.791 0.769 0.978
Se12 0.291 0.231 0.522
Se13 0.583 0.308 0.910
Se14 0.083 0.692 0.590
Se15 0.417 0.692 0.090
Se16 0.917 0.308 0.410
Se17 0.174 0.219 0.781
Se18 0.674 0.781 0.719
Se19 0.826 0.781 0.219
Se20 0.326 0.219 0.281
Se21 0.967 0.666 0.798
Se22 0.467 0.334 0.702
Se23 0.033 0.334 0.202
Se24 0.533 0.666 0.298

magnetic moment = 0.0000 μB per atom
crystal system = monoclinic
formation energy without anion corrections = -11.03 eV/f.u.
volume = 1165 Å³ per cell